[1]
# LiO3F12 PBE optimized geometry
data_LiO3F12
_symmetry_space_group_name_H-M 'R 3 c'
_symmetry_Int_Tables_number 161
_symmetry_space_group_name_Hall 'R 3 -2"c'
_cell_length_a 8.8614
_cell_length_b 8.8614
_cell_length_c 20.4174
_cell_angle_alpha 90.00
_cell_angle_beta 90.00
_cell_angle_gamma 120.00
loop_
_atom_site_label
_atom_site_type_symbol
_atom_site_fract_x
_atom_site_fract_y
_atom_site_fract_z
Li1 Li 0.0000 0.0000 0.0000
O1 O 0.0215 0.3832 0.0267
F1 F 0.0068 0.2235 0.4615
F2 F 0.0496 0.1972 0.3179
F3 F 0.1409 0.4676 0.2108
F4 F 0.1928 0.4668 0.3588
# - energy relative to the elements, uncorrected (kcal/mol of atoms) = -6.250
# - E (eV/cell) = -261.49
# - crystal system = trigonal



[2]
# Li2OF PBE optimized geometry
data_Li2OF
_symmetry_space_group_name_H-M 'R 3 m'
_symmetry_Int_Tables_number 160
_symmetry_space_group_name_Hall 'R 3 -2"'
_cell_length_a 2.7562
_cell_length_b 2.7562
_cell_length_c 15.9424
_cell_angle_alpha 90.00
_cell_angle_beta 90.00
_cell_angle_gamma 120.00
loop_
_atom_site_label
_atom_site_type_symbol
_atom_site_fract_x
_atom_site_fract_y
_atom_site_fract_z
Li1 Li 0.0000 0.0000 0.0000
Li2 Li 0.0000 0.0000 0.1574
O1 O 0.0000 0.0000 0.5770
F1 F 0.0000 0.0000 0.7475
# - energy relative to the elements, uncorrected (kcal/mol of atoms) = -44.557
# - E (eV/cell) = -55.16
# - crystal system = trigonal
# - distance to the lowest polymorph of the same formula (meV/atom) = 52.1



[3]
# Li2OF PBE optimized geometry
data_Li2OF
_symmetry_space_group_name_H-M 'R -3 m'
_symmetry_Int_Tables_number 166
_symmetry_space_group_name_Hall '-R 3 2"'
_cell_length_a 2.7924
_cell_length_b 2.7924
_cell_length_c 15.3459
_cell_angle_alpha 90.00
_cell_angle_beta 90.00
_cell_angle_gamma 120.00
loop_
_atom_site_label
_atom_site_type_symbol
_atom_site_fract_x
_atom_site_fract_y
_atom_site_fract_z
Li1 Li 0.0000 0.0000 0.2442
O1 O 0.0000 0.0000 0.0000
F1 F 0.0000 0.0000 0.5000
# - energy relative to the elements, uncorrected (kcal/mol of atoms) = -45.758
# - E (eV/cell) = -55.78
# - crystal system = trigonal
# - distance to the lowest polymorph of the same formula (meV/atom) = 0.0



[4]
# LiOF2 PBE optimized geometry
data_LiOF2
_symmetry_space_group_name_H-M 'P 1 21/m 1'
_symmetry_Int_Tables_number 11
_cell_length_a 5.3286
_cell_length_b 3.0447
_cell_length_c 5.5427
_cell_angle_alpha 90.00
_cell_angle_beta 108.52
_cell_angle_gamma 90.00
loop_
_symmetry_equiv_pos_as_xyz
'x,y,z'
'-x,-y,-z'
'-x,y+1/2,-z'
'x,-y+1/2,z'
loop_
_atom_site_label
_atom_site_type_symbol
_atom_site_fract_x
_atom_site_fract_y
_atom_site_fract_z
Li1 Li 0.2449 0.2500 0.0051
O1 O 0.2552 0.7500 0.5692
F1 F 0.0314 0.7500 0.8074
F2 F 0.4983 0.7500 0.2068
# - energy relative to the elements, uncorrected (kcal/mol of atoms) = -21.318
# - E (eV/cell) = -28.62
# - crystal system = monoclinic
# - distance to the lowest polymorph of the same formula (meV/atom) = 121.9